First-principles (PBE-GGA) data for crystalline Tm4TeC2Se at its relaxed geometry, as listed in OQMD via LeMat-Bulk.

- total magnetic moment (μB/cell) = 0.0
- V (Å³/atom) = 20.26
- total DFT energy (no corrections) (eV/cell) = -51.29

Geometry as POSCAR:
```
Tm4TeC2Se
1.0
3.727 0.000 0.000
-1.864 3.228 0.000
0.000 0.000 13.470
Tm Te C Se
4 1 2 1
Cartesian
0.000 0.000 1.950 Tm
0.000 0.000 11.521 Tm
0.000 2.152 4.519 Tm
0.000 2.152 8.951 Tm
0.000 0.000 6.735 Te
1.864 1.076 3.255 C
1.864 1.076 10.215 C
0.000 2.152 0.000 Se
```